RbLaY4Se8: relaxed, PBE-GGA.

E_tot = -6.0136 eV per atom
Crystal system = trigonal
E_form (uncorrected) = -1.7545 eV/atom
Theoretical density = 4.3 g cm⁻³

CIF file:
```
data_RbLaY4Se8
_chemical_formula_sum 'Rb3 La3 Y12 Se24'
_symmetry_space_group_name_H-M 'R 3 m'
_symmetry_Int_Tables_number 160
_symmetry_space_group_name_Hall 'R 3 -2"'
_cell_length_a 8.6159
_cell_length_b 8.6159
_cell_length_c 21.8651
_cell_angle_alpha 90.00
_cell_angle_beta 90.00
_cell_angle_gamma 120.00
loop_
_atom_site_label
_atom_site_fract_x
_atom_site_fract_y
_atom_site_fract_z
_atom_site_occupancy
Rb1 0.0000 0.0000 0.0000 1
La1 0.0000 0.0000 0.3646 1
Y1 0.0000 0.0000 0.7433 1
Y2 0.0115 0.5057 0.8708 1
Se1 0.0000 0.0000 0.1387 1
Se2 0.0000 0.0000 0.6123 1
Se3 0.0135 0.5068 0.1241 1
Se4 0.1867 0.3735 0.9424 1
```

---

Rb3La3YSe8: relaxed, PBE-GGA.

E_tot = -5.1785 eV per atom
Crystal system = monoclinic
E_form (uncorrected) = -1.7101 eV/atom
Theoretical density = 4.3 g cm⁻³

CIF file:
```
data_Rb3La3YSe8
_chemical_formula_sum 'Rb6 La6 Y2 Se16'
_symmetry_space_group_name_H-M 'C 1 2/m 1'
_symmetry_Int_Tables_number 12
_cell_length_a 15.254
_cell_length_b 8.799
_cell_length_c 9.563
_cell_angle_alpha 90.00
_cell_angle_beta 122.18
_cell_angle_gamma 90.00
loop_
_symmetry_equiv_pos_as_xyz
'x,y,z'
'-x,-y,-z'
'-x,y,-z'
'x,-y,z'
'x+1/2,y+1/2,z'
'-x+1/2,-y+1/2,-z'
'-x+1/2,y+1/2,-z'
'x+1/2,-y+1/2,z'
loop_
_atom_site_label
_atom_site_fract_x
_atom_site_fract_y
_atom_site_fract_z
_atom_site_occupancy
Rb1 0.000 0.000 0.000 1
Rb2 0.250 0.250 0.000 1
La1 0.000 0.500 0.500 1
La2 0.250 0.250 0.500 1
Y1 0.000 0.000 0.500 1
Se1 0.016 0.241 0.307 1
Se2 0.225 0.000 0.693 1
Se3 0.234 0.500 0.702 1
```

---

Rb4La3ZnSe8: relaxed, PBE-GGA.

E_tot = -4.4188 eV per atom
Crystal system = monoclinic
E_form (uncorrected) = -1.4311 eV/atom
Theoretical density = 4.5 g cm⁻³

CIF file:
```
data_Rb4La3ZnSe8
_chemical_formula_sum 'Rb8 La6 Zn2 Se16'
_symmetry_space_group_name_H-M 'C 1 2/m 1'
_symmetry_Int_Tables_number 12
_cell_length_a 15.449
_cell_length_b 8.668
_cell_length_c 9.469
_cell_angle_alpha 90.00
_cell_angle_beta 121.86
_cell_angle_gamma 90.00
loop_
_symmetry_equiv_pos_as_xyz
'x,y,z'
'-x,-y,-z'
'-x,y,-z'
'x,-y,z'
'x+1/2,y+1/2,z'
'-x+1/2,-y+1/2,-z'
'-x+1/2,y+1/2,-z'
'x+1/2,-y+1/2,z'
loop_
_atom_site_label
_atom_site_fract_x
_atom_site_fract_y
_atom_site_fract_z
_atom_site_occupancy
Rb1 0.000 0.000 0.000 1
Rb2 0.000 0.500 0.000 1
Rb3 0.250 0.250 0.000 1
La1 0.000 0.000 0.500 1
La2 0.250 0.250 0.500 1
Zn1 0.000 0.500 0.500 1
Se1 0.016 0.277 0.317 1
Se2 0.231 0.000 0.704 1
Se3 0.249 0.000 0.283 1
```

---

Rb2LaZn2Se4: relaxed, PBE-GGA.

E_tot = -3.7257 eV per atom
Crystal system = monoclinic
E_form (uncorrected) = -1.1314 eV/atom
Theoretical density = 4.5 g cm⁻³

CIF file:
```
data_Rb2LaZn2Se4
_chemical_formula_sum 'Rb4 La2 Zn4 Se8'
_symmetry_space_group_name_H-M 'C 1 2/m 1'
_symmetry_Int_Tables_number 12
_cell_length_a 15.885
_cell_length_b 4.549
_cell_length_c 8.160
_cell_angle_alpha 90.00
_cell_angle_beta 109.32
_cell_angle_gamma 90.00
loop_
_symmetry_equiv_pos_as_xyz
'x,y,z'
'-x,-y,-z'
'-x,y,-z'
'x,-y,z'
'x+1/2,y+1/2,z'
'-x+1/2,-y+1/2,-z'
'-x+1/2,y+1/2,-z'
'x+1/2,-y+1/2,z'
loop_
_atom_site_label
_atom_site_fract_x
_atom_site_fract_y
_atom_site_fract_z
_atom_site_occupancy
Rb1 0.133 0.000 0.063 1
La1 0.000 0.000 0.500 1
Zn1 0.175 0.500 0.502 1
Se1 0.022 0.500 0.267 1
Se2 0.204 0.000 0.661 1
```